# La2NiPd, relaxed, DFT PBE
data_La2NiPd
_chemical_formula_sum 'La8 Ni4 Pd4'
_cell_length_a 7.620
_cell_length_b 7.620
_cell_length_c 7.070
_cell_angle_alpha 90.00
_cell_angle_beta 90.00
_cell_angle_gamma 90.00
_symmetry_space_group_name_H-M 'I -4 2 d'
_symmetry_Int_Tables_number 122
_symmetry_space_group_name_Hall 'I -4 2bw'
loop_
_atom_site_label
_atom_site_fract_x
_atom_site_fract_y
_atom_site_fract_z
_atom_site_occupancy
La1 0.232 0.250 0.125 1
Ni1 0.000 0.000 0.000 1
Pd1 0.000 0.000 0.500 1
# Total DFT energy (no corrections) in eV per atom: -5.4485
# M_tot in Bohr magnetons per cell: 0.0
# N(E_F) in states/eV/cell: 20.2
# Formation energy in eV/atom: -0.241